[1]
First-principles (PBE) data for a geometry-optimized LiHo6Ag5 structure, as listed in Alexandria via LeMat-Bulk.

Cell: 8.8979 8.8979 8.8979 Å, 146.50 132.23 59.60°
With the nearest neighbours (Å) after each atom.
Atoms (fractional coordinates):
Li  0.0000  0.0000  0.0000  8 Ho 3.15-3.17
Ho  0.0836  0.8315  0.2521  7 Ag 3.12-3.22, 1 Li 3.17
Ho  0.2549  0.5000  0.7549  6 Ag 3.06-3.13, 2 Li 3.15
Ho  0.4206  0.1685  0.2521  7 Ag 3.12-3.22, 1 Li 3.17
Ho  0.5794  0.8315  0.7479  7 Ag 3.12-3.22, 1 Li 3.17
Ho  0.7451  0.5000  0.2451  6 Ag 3.06-3.13, 2 Li 3.15
Ho  0.9164  0.1685  0.7479  7 Ag 3.12-3.22, 1 Li 3.17
Ag  0.1583  0.6583  0.5000  8 Ho 3.06-3.22
Ag  0.3329  0.3329  0.0000  8 Ho 3.12-3.13
Ag  0.5000  0.0000  0.5000  8 Ho 3.11-3.16
Ag  0.6671  0.6671  0.0000  8 Ho 3.12-3.13
Ag  0.8417  0.3417  0.5000  8 Ho 3.06-3.22

Summary:
The calculation puts the calculated total energy at -3.898 eV/atom. The volume comes out at 23.8 Å³/atom. The symmetry is Immm, No. 71. As for the formation energy from the elements: -3.14 eV/f.u.

---

[2]
First-principles (PBE) data for a geometry-optimized AgSb structure, as listed in Alexandria via LeMat-Bulk.

Cell: 4.7137 4.7137 10.2172 Å, 90.00 90.00 120.00°
With the nearest neighbours (Å) after each atom.
Atoms (fractional coordinates):
Ag  0.0000  0.0000  0.2500  3 Ag 2.72
Ag  0.0000  0.0000  0.7500  3 Ag 2.72
Ag  0.3333  0.6667  0.2500  3 Ag 2.72
Ag  0.6667  0.3333  0.7500  3 Ag 2.72
Sb  0.3333  0.6667  0.5922  7 Ag 3.16-3.50, 4 Sb 3.22-3.31
Sb  0.3333  0.6667  0.9078  7 Ag 3.16-3.50, 4 Sb 3.22-3.31
Sb  0.6667  0.3333  0.0922  7 Ag 3.16-3.50, 4 Sb 3.22-3.31
Sb  0.6667  0.3333  0.4078  7 Ag 3.16-3.50, 4 Sb 3.22-3.31

Summary:
Its relative energy among the computed polymorphs is 0.24 eV per formula unit. Its energy relative to the elements, uncorrected is 0.20 eV per atom. The calculation puts the calculated total energy at -3.285 eV/atom. The volume comes out at 24.6 Å³/atom. The symmetry is P6_3/mmc, No. 194.